# Tl3ReP | Alexandria via LeMat-Bulk | GGA-PBEsol | relaxed
# ΔH_f (0 K) in eV/atom: 1.59
data_Tl3ReP
_chemical_formula_sum 'Tl3 Re1 P1'
_cell_length_a 5.172
_cell_length_b 5.172
_cell_length_c 5.172
_cell_angle_alpha 90.00
_cell_angle_beta 90.00
_cell_angle_gamma 90.00
_symmetry_space_group_name_H-M 'P m -3 m'
_symmetry_Int_Tables_number 221
_symmetry_space_group_name_Hall '-P 4 2 3'
loop_
_atom_site_label
_atom_site_type_symbol
_atom_site_fract_x
_atom_site_fract_y
_atom_site_fract_z
Tl1 Tl 0.000 0.000 0.500
Re1 Re 0.500 0.500 0.500
P1 P 0.000 0.000 0.000

=====

# Tl2ReP | Alexandria via LeMat-Bulk | GGA-PBEsol | relaxed
# ΔH_f (0 K) in eV/atom: 1.12
data_Tl2ReP
_chemical_formula_sum 'Tl2 Re1 P1'
_cell_length_a 2.977
_cell_length_b 2.977
_cell_length_c 8.715
_cell_angle_alpha 90.00
_cell_angle_beta 90.00
_cell_angle_gamma 90.00
_symmetry_space_group_name_H-M 'P 4/m m m'
_symmetry_Int_Tables_number 123
_symmetry_space_group_name_Hall '-P 4 2'
loop_
_atom_site_label
_atom_site_type_symbol
_atom_site_fract_x
_atom_site_fract_y
_atom_site_fract_z
Tl1 Tl 0.000 0.000 0.241
Re1 Re 0.500 0.500 0.000
P1 P 0.500 0.500 0.500

=====

# Tl2ReP | Alexandria via LeMat-Bulk | GGA-PBEsol | relaxed
# ΔH_f (0 K) in eV/atom: 0.46
data_Tl2ReP
_chemical_formula_sum 'Tl4 Re2 P2'
_cell_length_a 3.039
_cell_length_b 4.642
_cell_length_c 12.308
_cell_angle_alpha 90.00
_cell_angle_beta 90.00
_cell_angle_gamma 90.00
_symmetry_space_group_name_H-M 'I m m 2'
_symmetry_Int_Tables_number 44
loop_
_symmetry_equiv_pos_as_xyz
'x,y,z'
'-x,-y,z'
'-x,y,z'
'x,-y,z'
'x+1/2,y+1/2,z+1/2'
'-x+1/2,-y+1/2,z+1/2'
'-x+1/2,y+1/2,z+1/2'
'x+1/2,-y+1/2,z+1/2'
loop_
_atom_site_label
_atom_site_type_symbol
_atom_site_fract_x
_atom_site_fract_y
_atom_site_fract_z
Tl1 Tl 0.000 0.000 0.000
Tl2 Tl 0.000 0.500 0.195
Re1 Re 0.000 0.000 0.459
P1 P 0.000 0.500 0.818

=====

Question: The highest ΔH_f (0 K) belongs to which entry?
Answer: Tl3ReP